[1]
# PBE PaCdIrRu, relaxed
# formation energy: -0.32 eV per atom
# energy: -7.455 eV/atom
data_PaCdIrRu
_chemical_formula_sum 'Pa4 Cd4 Ir4 Ru4'
_symmetry_space_group_name_H-M 'F -4 3 m'
_symmetry_Int_Tables_number 216
_symmetry_space_group_name_Hall 'F -4 2 3'
_cell_length_a 6.7011
_cell_length_b 6.7011
_cell_length_c 6.7011
_cell_angle_alpha 90.00
_cell_angle_beta 90.00
_cell_angle_gamma 90.00
loop_
_atom_site_label
_atom_site_type_symbol
_atom_site_fract_x
_atom_site_fract_y
_atom_site_fract_z
Pa1 Pa 0.0000 0.0000 0.0000
Cd1 Cd 0.0000 0.0000 0.5000
Ir1 Ir 0.2500 0.2500 0.2500
Ru1 Ru 0.2500 0.2500 0.7500

***

[2]
# PBE CdIr2Pb, relaxed
# offset from the most stable computed form: 6.097 kcal/mol of atoms
# formation energy: 0.60 eV per atom
# energy: -4.990 eV/atom
data_CdIr2Pb
_chemical_formula_sum 'Cd4 Ir8 Pb4'
_symmetry_space_group_name_H-M 'F -4 3 m'
_symmetry_Int_Tables_number 216
_symmetry_space_group_name_Hall 'F -4 2 3'
_cell_length_a 6.6729
_cell_length_b 6.6729
_cell_length_c 6.6729
_cell_angle_alpha 90.00
_cell_angle_beta 90.00
_cell_angle_gamma 90.00
loop_
_atom_site_label
_atom_site_type_symbol
_atom_site_fract_x
_atom_site_fract_y
_atom_site_fract_z
Cd1 Cd 0.0000 0.0000 0.0000
Ir1 Ir 0.0000 0.0000 0.5000
Ir2 Ir 0.2500 0.2500 0.2500
Pb1 Pb 0.2500 0.2500 0.7500

***

[3]
# PBE CdIrPb, relaxed
# offset from the most stable computed form: 0.000 kcal/mol of atoms
# formation energy: 0.17 eV per atom
# energy: -4.323 eV/atom
data_CdIrPb
_chemical_formula_sum 'Cd4 Ir4 Pb4'
_symmetry_space_group_name_H-M 'F -4 3 m'
_symmetry_Int_Tables_number 216
_symmetry_space_group_name_Hall 'F -4 2 3'
_cell_length_a 6.5221
_cell_length_b 6.5221
_cell_length_c 6.5221
_cell_angle_alpha 90.00
_cell_angle_beta 90.00
_cell_angle_gamma 90.00
loop_
_atom_site_label
_atom_site_type_symbol
_atom_site_fract_x
_atom_site_fract_y
_atom_site_fract_z
Cd1 Cd 0.0000 0.0000 0.0000
Ir1 Ir 0.2500 0.2500 0.7500
Pb1 Pb 0.0000 0.0000 0.5000

***

[4]
# PBE Cd2IrPb, relaxed
# formation energy: 0.25 eV per atom
# energy: -3.352 eV/atom
data_Cd2IrPb
_chemical_formula_sum 'Cd6 Ir3 Pb3'
_symmetry_space_group_name_H-M 'R 3 m'
_symmetry_Int_Tables_number 160
_symmetry_space_group_name_Hall 'R 3 -2"'
_cell_length_a 3.1573
_cell_length_b 3.1573
_cell_length_c 30.7251
_cell_angle_alpha 90.00
_cell_angle_beta 90.00
_cell_angle_gamma 120.00
loop_
_atom_site_label
_atom_site_type_symbol
_atom_site_fract_x
_atom_site_fract_y
_atom_site_fract_z
Cd1 Cd 0.0000 0.0000 0.0000
Cd2 Cd 0.0000 0.0000 0.2426
Ir1 Ir 0.0000 0.0000 0.7365
Pb1 Pb 0.0000 0.0000 0.4753

***

[5]
# PBE CdIrPb2, relaxed
# formation energy: 0.47 eV per atom
# energy: -3.828 eV/atom
data_CdIrPb2
_chemical_formula_sum 'Cd4 Ir4 Pb8'
_symmetry_space_group_name_H-M 'F -4 3 m'
_symmetry_Int_Tables_number 216
_symmetry_space_group_name_Hall 'F -4 2 3'
_cell_length_a 7.1690
_cell_length_b 7.1690
_cell_length_c 7.1690
_cell_angle_alpha 90.00
_cell_angle_beta 90.00
_cell_angle_gamma 90.00
loop_
_atom_site_label
_atom_site_type_symbol
_atom_site_fract_x
_atom_site_fract_y
_atom_site_fract_z
Cd1 Cd 0.0000 0.0000 0.0000
Ir1 Ir 0.2500 0.2500 0.2500
Pb1 Pb 0.0000 0.0000 0.5000
Pb2 Pb 0.2500 0.2500 0.7500

***

[6]
# PBE Cd2IrPb2, relaxed
# offset from the most stable computed form: 0.426 kcal/mol of atoms
# formation energy: 0.41 eV per atom
# energy: -3.213 eV/atom
data_Cd2IrPb2
_chemical_formula_sum 'Cd4 Ir2 Pb4'
_symmetry_space_group_name_H-M 'P 4/m b m'
_symmetry_Int_Tables_number 127
_symmetry_space_group_name_Hall '-P 4 2ab'
_cell_length_a 7.1842
_cell_length_b 7.1842
_cell_length_c 5.0054
_cell_angle_alpha 90.00
_cell_angle_beta 90.00
_cell_angle_gamma 90.00
loop_
_atom_site_label
_atom_site_type_symbol
_atom_site_fract_x
_atom_site_fract_y
_atom_site_fract_z
Cd1 Cd 0.1559 0.3441 0.0000
Ir1 Ir 0.0000 0.0000 0.5000
Pb1 Pb 0.1581 0.6581 0.5000

***

What did the first record say?
# PBE PaCdIrRu, relaxed
# formation energy: -0.32 eV per atom
# energy: -7.455 eV/atom
data_PaCdIrRu
_chemical_formula_sum 'Pa4 Cd4 Ir4 Ru4'
_symmetry_space_group_name_H-M 'F -4 3 m'
_symmetry_Int_Tables_number 216
_symmetry_space_group_name_Hall 'F -4 2 3'
_cell_length_a 6.7011
_cell_length_b 6.7011
_cell_length_c 6.7011
_cell_angle_alpha 90.00
_cell_angle_beta 90.00
_cell_angle_gamma 90.00
loop_
_atom_site_label
_atom_site_type_symbol
_atom_site_fract_x
_atom_site_fract_y
_atom_site_fract_z
Pa1 Pa 0.0000 0.0000 0.0000
Cd1 Cd 0.0000 0.0000 0.5000
Ir1 Ir 0.2500 0.2500 0.2500
Ru1 Ru 0.2500 0.2500 0.7500